Entry 1:
Here is an optimized crystal structure of Li4Sm3Ag4 from Alexandria. Energies are from PBE.

The structure belongs to space group Immm (No. 71); the cell edges are 4.241, 7.823 and 14.658 Å and the angles 90.00°, 90.00° and 90.00°. The distinct sites, in fractional coordinates, are Li at (0.000, 0.193, 0.176), Sm at (0.000, 0.000, 0.378), Sm at (0.000, 0.500, 0.500), Ag at (0.000, 0.309, 0.000) and Ag at (0.000, 0.500, 0.282).

The calculation puts the energy at -3.1879 eV/atom. As for the formation energy: -0.168 eV/atom. The magnetic moment is 0.00 μB per cell.

=====

Entry 2:
Here is an optimized crystal structure of La2YCu from Alexandria. Energies are from PBE.

The structure belongs to space group I-4m2 (No. 119); the cell edges are 4.703, 4.703 and 10.288 Å and the angles 90.00°, 90.00° and 90.00°. The distinct sites, in fractional coordinates, are La at (0.000, 0.000, 0.000), La at (0.000, 0.500, 0.250), Y at (0.000, 0.500, 0.750) and Cu at (0.000, 0.000, 0.500).

The calculation puts the energy at -4.9443 eV/atom. As for the formation energy: 0.159 eV/atom. The calculation puts the relative energy among the computed polymorphs at 0.234 eV/atom. The magnetic moment is 0.00 μB per cell.